[1]
Computed, not measured: Er3Tl3CrS8 after structural relaxation at the PBE level of DFT.

For the energy, the calculation gives -82.11 eV per cell. The value obtained for the formation energy (no corrections) is -1.25 eV per atom.

a = 7.745 Å, b = 7.744 Å, c = 8.702 Å
α = 116.43°, β = 89.99°, γ = 120.00°
Atoms (fractional coordinates):
S 0.242 0.028 0.314
S 0.786 0.572 0.314
S 0.266 0.533 0.299
S 0.786 0.028 0.314
S 0.214 0.428 0.686
S 0.734 0.467 0.701
S 0.214 0.972 0.686
S 0.758 0.972 0.686
Tl 0.000 0.000 0.000
Tl 0.000 0.500 0.000
Tl 0.500 0.500 0.000
Er 0.500 0.000 0.500
Er 0.000 0.500 0.500
Er 0.500 0.500 0.500
Cr 0.000 0.000 0.500

---

[2]
Computed, not measured: Pb3WBr after structural relaxation at the PBE level of DFT.

For the energy, the calculation gives -24.27 eV per cell. The value obtained for the formation energy (no corrections) is 0.30 eV per atom. The value obtained for the offset from the most stable computed form is 0.000 eV/atom.

a = 5.420 Å, b = 5.420 Å, c = 5.420 Å
α = 90.00°, β = 90.00°, γ = 90.00°
Atoms (fractional coordinates):
Pb 0.500 0.000 0.000
Pb 0.000 0.500 0.000
Pb 0.000 0.000 0.500
Br 0.500 0.500 0.500
W 0.000 0.000 0.000

---

[3]
Computed, not measured: CeTmGa3 after structural relaxation at the PBE level of DFT.

As for the energy of formation: -0.602 eV per atom. For the energy, the calculation gives -44.99 eV per cell.

a = 4.165 Å, b = 4.255 Å, c = 12.936 Å
α = 99.47°, β = 90.00°, γ = 90.00°
Atoms (fractional coordinates):
Tm 0.750 0.204 0.408
Tm 0.250 0.796 0.592
Ga 0.750 0.525 0.049
Ga 0.250 0.475 0.951
Ga 0.250 0.379 0.757
Ga 0.750 0.321 0.643
Ga 0.750 0.621 0.243
Ga 0.250 0.679 0.357
Ce 0.750 0.926 0.852
Ce 0.250 0.074 0.148

---

[4]
Computed, not measured: Sr2Cd2P3 after structural relaxation at the PBE level of DFT.

As for the energy of formation: -0.719 eV per atom. For the energy, the calculation gives -52.91 eV per cell.

a = 4.373 Å, b = 8.439 Å, c = 10.037 Å
α = 81.82°, β = 77.42°, γ = 74.98°
Atoms (fractional coordinates):
Cd 0.406 0.530 0.658
Cd 0.956 0.774 0.315
Cd 0.594 0.470 0.342
Cd 0.044 0.226 0.685
Sr 0.610 0.737 0.043
Sr 0.729 0.871 0.671
Sr 0.271 0.129 0.329
Sr 0.390 0.263 0.957
P 0.376 0.779 0.468
P 0.072 0.966 0.890
P 0.843 0.505 0.810
P 0.928 0.034 0.110
P 0.624 0.221 0.532
P 0.157 0.495 0.190

---

[5]
Computed, not measured: ZrTcW2 after structural relaxation at the PBE level of DFT.

As for the energy of formation: 0.325 eV per atom. For the energy, the calculation gives -43.52 eV per cell. The value obtained for the offset from the most stable computed form is 0.408 eV/atom.

a = 2.852 Å, b = 4.549 Å, c = 5.332 Å
α = 90.00°, β = 90.00°, γ = 90.00°
Atoms (fractional coordinates):
Zr 0.500 0.500 0.250
W 0.000 0.000 0.506
W 0.000 0.000 0.994
Tc 0.500 0.500 0.750